# 1
An optimized crystal structure of MnFeRe3. Source: the Alexandria database, functional PBE.

Lattice parameters (Å, degrees): 4.3607 4.3607 4.3607 90.00 90.00 90.00
With the nearest neighbours (Å) after each atom.
Fractional coordinates of all 5 atoms:
1 Re 0.0000 0.5000 0.0000  2 Mn 2.18
2 Re 0.0000 0.0000 0.5000  2 Mn 2.18
3 Re 0.5000 0.0000 0.0000  2 Mn 2.18
4 Mn 0.0000 0.0000 0.0000  6 Re 2.18
5 Fe 0.5000 0.5000 0.5000  12 Re 3.08

Output
Offset from the most stable computed form   0.00 eV/f.u.
Energy relative to the elements   1792 meV per atom



# 2
An optimized crystal structure of Na2CeNbN4. Source: the Alexandria database, functional PBE.

Lattice parameters (Å, degrees): 3.3540 5.8791 6.0203 109.22 90.00 90.00
With the nearest neighbours (Å) after each atom.
Fractional coordinates of all 8 atoms:
1 Na 0.5000 0.0000 0.5000  6 N 2.55
2 Na 0.0000 0.5000 0.5000  6 N 2.65-2.76
3 Ce 0.5000 0.5000 0.0000  6 N 2.31-2.35
4 Nb 0.0000 0.0000 0.0000  6 N 2.10-2.19
5 N 0.5000 0.2129 0.1934  2 Nb 2.19, 1 Ce 2.35
6 N 0.5000 0.7871 0.8066  2 Nb 2.19, 1 Ce 2.35
7 N 0.0000 0.2393 0.8064  1 Nb 2.10, 2 Ce 2.31
8 N 0.0000 0.7607 0.1936  1 Nb 2.10, 2 Ce 2.31

Output
Formation energy (no corrections)   -646 meV/atom



# 3
An optimized crystal structure of Pm3Ir7Rh2. Source: the Alexandria database, functional PBE.

Lattice parameters (Å, degrees): 5.3436 5.3436 9.3739 73.44 73.44 60.00
With the nearest neighbours (Å) after each atom.
Fractional coordinates of all 12 atoms:
1 Pm 0.0000 0.0000 0.0000  6 Rh 3.09, 12 Ir 3.44
2 Pm 0.8604 0.8604 0.4187  12 Ir 3.08-3.36, 3 Pm 3.40
3 Pm 0.1396 0.1396 0.5813  12 Ir 3.08-3.36, 3 Pm 3.40
4 Ir 0.5000 0.5000 0.5000  6 Ir 2.73
5 Ir 0.9172 0.4189 0.2449  2 Rh 2.65-2.67, 5 Ir 2.66-2.73
6 Ir 0.4189 0.9172 0.2449  2 Rh 2.65-2.67, 5 Ir 2.66-2.73
7 Ir 0.4189 0.4189 0.2449  2 Rh 2.65-2.67, 5 Ir 2.66-2.73
8 Ir 0.0828 0.5811 0.7551  2 Rh 2.65-2.67, 5 Ir 2.66-2.73
9 Ir 0.5811 0.5811 0.7551  2 Rh 2.65-2.67, 5 Ir 2.66-2.73
10 Ir 0.5811 0.0828 0.7551  2 Rh 2.65-2.67, 5 Ir 2.66-2.73
11 Rh 0.6673 0.6673 0.9980  6 Ir 2.65-2.67
12 Rh 0.3327 0.3327 0.0020  6 Ir 2.65-2.67

Output
Energy relative to the elements   -562 meV per atom



# 4
An optimized crystal structure of CrB2Se6. Source: the Alexandria database, functional PBE.

Lattice parameters (Å, degrees): 6.2133 7.7152 7.7152 81.06 81.11 81.11
With the nearest neighbours (Å) after each atom.
Fractional coordinates of all 18 atoms:
1 Cr 0.2500 0.1125 0.8875  6 Se 2.40-2.54
2 Cr 0.7500 0.8875 0.1125  6 Se 2.40-2.54
3 B 0.1637 0.6381 0.7900  4 Se 2.06-2.09
4 B 0.3363 0.2100 0.3619  4 Se 2.06-2.09
5 B 0.8363 0.3619 0.2100  4 Se 2.06-2.09
6 B 0.6637 0.7900 0.6381  4 Se 2.06-2.09
7 Se 0.3764 0.7246 0.5704  2 B 2.07-2.09
8 Se 0.1236 0.4296 0.2754  2 B 2.07-2.09
9 Se 0.6236 0.2754 0.4296  2 B 2.07-2.09
10 Se 0.8764 0.5704 0.7246  2 B 2.07-2.09
11 Se 0.8324 0.9035 0.4032  1 B 2.09
12 Se 0.6676 0.5968 0.0965  1 B 2.09
13 Se 0.1676 0.0965 0.5968  1 B 2.09
14 Se 0.3324 0.4032 0.9035  1 B 2.09
15 Se 0.1324 0.8066 0.9782  1 B 2.06
16 Se 0.3676 0.0218 0.1934  1 B 2.06
17 Se 0.8676 0.1934 0.0218  1 B 2.06
18 Se 0.6324 0.9782 0.8066  1 B 2.06

Output
Formation energy (no corrections)   -99 meV/atom



Record-wise spin magnetization values, in μB/atom: 0.00, 0.07, 0.00, 0.20